# 1
DFT (GGA-PBE) results for a relaxed structure of P2IrNCl.

Geometry as extended XYZ:
```
5
Lattice="-1.570 3.655 -0.099 -2.519 -1.160 -2.853 -2.819 -1.131 2.949" Properties=species:S:1:pos:R:3 pbc="T T T"
P -1.260 -0.580 -1.427
P -0.785 1.828 -0.050
N 0.000 0.000 0.000
Ir -3.454 0.682 -0.002
Cl -1.410 -0.565 1.475
```

Values from the calculation:
Fermi-level density of states, states/eV per cell: 2.083
Electronic total energy, eV for the cell shown: -23.55
Formation energy (no corrections), eV per atom: 1.26
E above lowest polymorph, eV per formula unit: 0.00

# 2
DFT (GGA-PBE) results for a relaxed structure of BeTcSe.

Geometry as extended XYZ:
```
3
Lattice="3.918 0.000 0.000 1.959 3.393 0.000 1.959 1.131 3.199" Properties=species:S:1:pos:R:3 pbc="T T T"
Be 5.877 3.393 2.399
Tc 3.918 2.262 1.600
Se 0.000 0.000 0.000
```

Values from the calculation:
Fermi-level density of states, states/eV per cell: 2.044
Electronic total energy, eV for the cell shown: -15.87
Formation energy (no corrections), eV per atom: 0.57
E above lowest polymorph, eV per formula unit: 1.59

# 3
DFT (GGA-PBE) results for a relaxed structure of TiP3Pd.

Geometry as extended XYZ:
```
5
Lattice="4.616 0.000 0.000 0.000 4.616 0.000 0.000 0.000 4.616" Properties=species:S:1:pos:R:3 pbc="T T T"
P 0.000 2.308 0.000
P 0.000 0.000 2.308
P 2.308 0.000 0.000
Pd 0.000 0.000 0.000
Ti 2.308 2.308 2.308
```

Values from the calculation:
Fermi-level density of states, states/eV per cell: 6.034
Electronic total energy, eV for the cell shown: -25.80
E_form, meV/atom: 704.4
E above lowest polymorph, eV per formula unit: 1.51

Look up the Fermi-level density of states of the first one. 2.083 states/eV per cell

The lowest Fermi-level density of states belongs to which entry? BeTcSe

The highest Fermi-level density of states belongs to which entry? TiP3Pd